DFT (PBE+U) results for crystalline NaCrP2O at its relaxed geometry.

Cell: 4.7416 4.7416 3.5573 Å, 90.00 90.00 90.00°
With the nearest neighbours (Å) after each atom.
Positions (direct):
Cr: 0.0000 0.0000 0.0000  2 O 1.78
Na: 0.5000 0.5000 0.5000  8 P 2.96
O: 0.0000 0.0000 0.5000  2 Cr 1.78
P: 0.0000 0.5000 0.0000  2 Cr 2.37
P: 0.5000 0.0000 0.0000  2 Cr 2.37

Results
The space group is P4/mmm. As for the total magnetization: 0.00 μB/f.u. The energy is -4.775 eV/atom. As for the relative energy among the computed polymorphs: 0 meV per atom.